[1]
Density functional theory data (PBE) for a relaxed Ac8Tb4Tm crystal.

a = 11.7523 Å, b = 11.7523 Å, c = 14.3745 Å
α = 90.00°, β = 90.00°, γ = 120.00°
Space group R-3m (No. 166, hexagonal axes)
Asymmetric unit:
1 Ac 0.0000 0.0000 0.2426 (multiplicity 6)
2 Ac 0.0097 0.5048 0.7473 (multiplicity 18)
3 Tb 0.0000 0.0000 0.0000 (multiplicity 3)
4 Tb 0.0000 0.5000 0.0000 (multiplicity 9)
5 Tm 0.0000 0.0000 0.5000 (multiplicity 3)

Calculated volume ... 1719 Å³ per cell
Calculated total energy ... -3.900 eV/atom
Crystal system ... trigonal

[2]
Density functional theory data (PBE) for a relaxed Tl6BiPd12 crystal.

a = 12.3814 Å, b = 12.3814 Å, c = 8.6502 Å
α = 90.00°, β = 90.00°, γ = 120.00°
Space group R-3m (No. 166, hexagonal axes)
Asymmetric unit:
1 Tl 0.0604 0.5302 0.2370 (multiplicity 18)
2 Bi 0.0000 0.0000 0.0000 (multiplicity 3)
3 Pd 0.0000 0.3849 0.5000 (multiplicity 18)
4 Pd 0.0782 0.1564 0.2662 (multiplicity 18)

Calculated volume ... 1148 Å³ per cell
Calculated total energy ... -4.281 eV/atom
Crystal system ... trigonal

[3]
Density functional theory data (PBE) for a relaxed Y2MnCo crystal.

a = 3.9229 Å, b = 3.9229 Å, c = 20.7276 Å
α = 90.00°, β = 90.00°, γ = 120.00°
Space group R3m (No. 160, hexagonal axes)
Asymmetric unit:
1 Y 0.0000 0.0000 0.0000 (multiplicity 3)
2 Y 0.0000 0.0000 0.1822 (multiplicity 3)
3 Mn 0.0000 0.0000 0.4227 (multiplicity 3)
4 Co 0.0000 0.0000 0.7627 (multiplicity 3)

Polymorph energy (0 for the lowest one) ... 0 meV/atom
Calculated volume ... 276 Å³ per cell
Crystal system ... trigonal

These records have size of the total moment values of 0.000; 0.000; 2.202 μB per formula unit, in the order they appear.